(1)
# MnAsOsRu

An optimized crystal structure of MnAsOsRu (PBE, Alexandria via LeMat-Bulk).

Values from the calculation:
- Fermi-level density of states: 0.577 states/eV/atom
- Magnetic moment: 3.9 μB/cell
- Space-group type: F-43m (216)
- Calculated total energy: -34.06 eV for the cell shown

Cell: 4.2865 4.2865 4.2865 Å, 60.00 60.00 60.00°
Sites, in units of the cell vectors:
Mn 0.0000 0.0000 0.0000
As 0.5000 0.5000 0.5000
Os 0.2500 0.2500 0.2500
Ru 0.7500 0.7500 0.7500

***

(2)
# La2Cu2Os

An optimized crystal structure of La2Cu2Os (PBE, Alexandria via LeMat-Bulk).

Values from the calculation:
- Fermi-level density of states: 1.111 states/eV/atom
- Magnetic moment: 0.0 μB/cell
- Space-group type: P4/mbm (127)
- Calculated total energy: -57.69 eV for the cell shown

Cell: 7.0606 7.0606 4.2473 Å, 90.00 90.00 90.00°
Sites, in units of the cell vectors:
La 0.1917 0.3083 0.0000
La 0.3083 0.8083 0.0000
La 0.6917 0.1917 0.0000
La 0.8083 0.6917 0.0000
Cu 0.1224 0.6224 0.5000
Cu 0.3776 0.1224 0.5000
Cu 0.6224 0.8776 0.5000
Cu 0.8776 0.3776 0.5000
Os 0.0000 0.0000 0.5000
Os 0.5000 0.5000 0.5000

***

(3)
# Na3Tl3SnHg2

An optimized crystal structure of Na3Tl3SnHg2 (PBE, Alexandria via LeMat-Bulk).

Values from the calculation:
- Fermi-level density of states: 0.521 states/eV/atom
- Magnetic moment: 0.0 μB/cell
- Space-group type: P-62m (189)
- Calculated total energy: -16.98 eV for the cell shown

Cell: 8.9610 8.9610 3.5807 Å, 90.00 90.00 120.00°
Sites, in units of the cell vectors:
Na 0.0000 0.3767 0.0000
Na 0.3767 0.0000 0.0000
Na 0.6233 0.6233 0.0000
Tl 0.0000 0.7022 0.5000
Tl 0.2978 0.2978 0.5000
Tl 0.7022 0.0000 0.5000
Sn 0.0000 0.0000 0.0000
Hg 0.3333 0.6667 0.5000
Hg 0.6667 0.3333 0.5000

***

(4)
# NaLaErPb

An optimized crystal structure of NaLaErPb (PBE, Alexandria via LeMat-Bulk).

Values from the calculation:
- Fermi-level density of states: 0.834 states/eV/atom
- Magnetic moment: 0.1 μB/cell
- Space-group type: F-43m (216)
- Calculated total energy: -15.22 eV for the cell shown

Cell: 5.5263 5.5263 5.5263 Å, 60.00 60.00 60.00°
Sites, in units of the cell vectors:
Na 0.0000 0.0000 0.0000
La 0.7500 0.7500 0.7500
Er 0.2500 0.2500 0.2500
Pb 0.5000 0.5000 0.5000

***

(5)
# Cd13Au2

An optimized crystal structure of Cd13Au2 (PBE, Alexandria via LeMat-Bulk).

Values from the calculation:
- Distance to the lowest polymorph of the same formula: 0.000 eV per atom
- Fermi-level density of states: 0.258 states/eV/atom
- Magnetic moment: 0.0 μB/cell
- Space-group type: P-1 (2)
- Calculated total energy: -18.95 eV for the cell shown

Cell: 5.8550 7.1860 8.7481 Å, 110.64 91.53 100.11°
Sites, in units of the cell vectors:
Cd 0.0000 0.0000 0.0000
Cd 0.0397 0.4660 0.6697
Cd 0.2507 0.9876 0.5806
Cd 0.2541 0.3722 0.9458
Cd 0.2703 0.8093 0.1818
Cd 0.4316 0.8095 0.8469
Cd 0.4697 0.5964 0.3713
Cd 0.5303 0.4036 0.6287
Cd 0.5684 0.1905 0.1531
Cd 0.7297 0.1907 0.8182
Cd 0.7459 0.6278 0.0542
Cd 0.7493 0.0124 0.4194
Cd 0.9603 0.5340 0.3303
Au 0.1731 0.2118 0.3510
Au 0.8269 0.7882 0.6490

***

Q: Look up the calculated total energy of the first one.
A: -34.06 eV for the cell shown